Entry 1:
First-principles (PBE) data for NaPmBe after structural relaxation, as listed in the Open Quantum Materials Database.

The structure in POSCAR format:
```
NaPmBe
1.0
-3.536 -2.885 -1.433
-3.263 -1.529 3.146
-4.487 1.643 -0.219
Na Be Pm
1 1 1
Cartesian
-2.822 -0.693 0.374
0.000 0.000 0.000
-8.465 -2.079 1.121
```

Summary:
The calculation puts the raw total energy at -8.0 eV/f.u. As for the distance to the lowest polymorph of the same formula: 0.000 eV per atom.

---

Entry 2:
First-principles (PBE) data for NaPrBeTe3 after structural relaxation, as listed in the Open Quantum Materials Database.

The structure in POSCAR format:
```
NaPrBeTe3
1.0
-7.278 1.533 1.066
5.586 -0.859 -4.951
-2.601 -11.723 -0.902
Te Be Na Pr
6 2 2 2
Cartesian
1.383 -11.210 -4.917
-5.675 0.162 0.130
-6.518 -3.638 -0.162
-2.421 -2.422 -1.736
2.226 -7.410 -4.624
-1.872 -8.627 -3.051
3.172 -9.565 -5.411
-7.465 -1.484 0.624
1.660 -3.180 -3.644
-5.953 -7.868 -1.143
-2.146 -5.524 -2.393
-0.846 0.337 -1.943
```

Summary:
The calculation puts the raw total energy at -24.8 eV/f.u.